Entry 1:
First-principles (PBE+U) data for an optimized crystal structure of PmFe2RhO6, as listed in Alexandria.

a = 5.5579 Å, b = 5.5579 Å, c = 5.5579 Å
α = 57.37°, β = 57.37°, γ = 57.37°
With the nearest neighbours (Å) after each atom.
Element x y z (fractional)
Pm 0.0000 0.0000 0.0000  3 O 2.27
Fe 0.2227 0.2227 0.2227  6 O 2.01-2.05
Fe 0.7348 0.7348 0.7348  6 O 1.96-2.06
Rh 0.5366 0.5366 0.5366  6 O 2.04-2.17
O 0.1039 0.4690 0.8414  2 Fe 1.96-2.05, 1 Rh 2.17
O 0.3944 0.9482 0.5614  2 Fe 2.01-2.06, 1 Rh 2.04
O 0.4690 0.8414 0.1039  2 Fe 1.96-2.05, 1 Rh 2.17
O 0.5614 0.3944 0.9482  2 Fe 2.01-2.06, 1 Rh 2.04
O 0.8414 0.1039 0.4690  2 Fe 1.96-2.05, 1 Rh 2.17
O 0.9482 0.5614 0.3944  2 Fe 2.01-2.06, 1 Rh 2.04

Results
Energy   -68.46 eV for the cell shown
Symmetry   R3

---

Entry 2:
First-principles (PBE+U) data for an optimized crystal structure of PmFeRuO6, as listed in Alexandria.

a = 4.8981 Å, b = 4.8981 Å, c = 9.6305 Å
α = 90.00°, β = 90.00°, γ = 90.00°
With the nearest neighbours (Å) after each atom.
Element x y z (fractional)
Pm 0.0000 0.0000 0.0000  6 O 2.27-2.35
Pm 0.5000 0.5000 0.5000  6 O 2.27-2.35
Fe 0.0000 0.0000 0.3375  6 O 2.03-2.12
Fe 0.5000 0.5000 0.8375  6 O 2.03-2.12
Ru 0.0000 0.0000 0.6699  6 O 1.94-1.96
Ru 0.5000 0.5000 0.1699  6 O 1.94-1.96
O 0.1728 0.1728 0.5082  1 Ru 1.96, 1 Fe 2.03
O 0.2075 0.2075 0.8073  1 Ru 1.95, 1 Fe 2.05
O 0.2207 0.2207 0.1848  1 Ru 1.94, 1 Fe 2.12
O 0.2793 0.7207 0.6848  1 Ru 1.94, 1 Fe 2.12
O 0.2925 0.7075 0.3073  1 Ru 1.95, 1 Fe 2.05
O 0.3272 0.6728 0.0082  1 Ru 1.96, 1 Fe 2.03
O 0.6728 0.3272 0.0082  1 Ru 1.96, 1 Fe 2.03
O 0.7075 0.2925 0.3073  1 Ru 1.95, 1 Fe 2.05
O 0.7207 0.2793 0.6848  1 Ru 1.94, 1 Fe 2.12
O 0.7793 0.7793 0.1848  1 Ru 1.94, 1 Fe 2.12
O 0.7925 0.7925 0.8073  1 Ru 1.95, 1 Fe 2.05
O 0.8272 0.8272 0.5082  1 Ru 1.96, 1 Fe 2.03

Results
Energy   -127.31 eV for the cell shown
Density of states at the Fermi level   0.40 states/eV per atom
Symmetry   P4_2nm

---

Entry 3:
First-principles (PBE+U) data for an optimized crystal structure of Pm2FeRuO8, as listed in Alexandria.

a = 4.5265 Å, b = 5.0808 Å, c = 6.9441 Å
α = 91.90°, β = 91.18°, γ = 95.10°
With the nearest neighbours (Å) after each atom.
Element x y z (fractional)
Pm 0.1126 0.0230 0.2511  6 O 2.27-2.51
Pm 0.8874 0.9770 0.7489  6 O 2.27-2.51
Fe 0.5000 0.5000 0.0000  2 O 1.85
Ru 0.5000 0.5000 0.5000  6 O 1.83-1.98
O 0.1785 0.2657 0.5449  1 Ru 1.83
O 0.2188 0.2136 0.9660  1 Fe 1.85
O 0.3129 0.6090 0.2587  1 Ru 1.98, 1 Fe 2.08
O 0.3569 0.7668 0.6779  1 Ru 1.96
O 0.6431 0.2332 0.3221  1 Ru 1.96
O 0.6871 0.3910 0.7413  1 Ru 1.98, 1 Fe 2.08
O 0.7812 0.7864 0.0340  1 Fe 1.85
O 0.8215 0.7343 0.4551  1 Ru 1.83

Results
Energy   -86.48 eV for the cell shown
Density of states at the Fermi level   0.16 states/eV per atom
Symmetry   P-1

---

Entry 4:
First-principles (PBE+U) data for an optimized crystal structure of PmFe2RuO6, as listed in Alexandria.

a = 5.6671 Å, b = 5.6671 Å, c = 5.6671 Å
α = 56.62°, β = 56.62°, γ = 56.62°
With the nearest neighbours (Å) after each atom.
Element x y z (fractional)
Pm 0.0000 0.0000 0.0000  6 O 2.28-2.51
Fe 0.2639 0.2639 0.2639  6 O 1.98-2.20
Fe 0.7802 0.7802 0.7802  6 O 2.00-2.11
Ru 0.4688 0.4688 0.4688  6 O 2.04-2.15
O 0.0622 0.6226 0.4394  2 Fe 2.00-2.20, 1 Ru 2.04
O 0.1729 0.5470 0.8884  2 Fe 1.98-2.11, 1 Ru 2.15
O 0.4394 0.0622 0.6226  2 Fe 2.00-2.20, 1 Ru 2.04
O 0.5470 0.8884 0.1729  2 Fe 1.98-2.11, 1 Ru 2.15
O 0.6226 0.4394 0.0622  2 Fe 2.00-2.20, 1 Ru 2.04
O 0.8884 0.1729 0.5470  2 Fe 1.98-2.11, 1 Ru 2.15

Results
Energy   -71.74 eV for the cell shown
Density of states at the Fermi level   0.68 states/eV per atom
Symmetry   R3

---

Entry 5:
First-principles (PBE+U) data for an optimized crystal structure of Pm2FeS2O2, as listed in Alexandria.

a = 5.9580 Å, b = 5.9580 Å, c = 6.8144 Å
α = 119.22°, β = 119.22°, γ = 37.35°
With the nearest neighbours (Å) after each atom.
Element x y z (fractional)
Pm 0.1896 0.1896 0.2319  3 O 2.28-2.35
Pm 0.8104 0.8104 0.7681  3 O 2.28-2.35
Fe 0.0000 0.0000 0.5000  2 O 1.99
S 0.4366 0.4366 0.1755  2 Fe 2.72, 1 Pm 3.00
S 0.5634 0.5634 0.8245  2 Fe 2.72, 1 Pm 3.00
O 0.1964 0.1964 0.5828  1 Fe 1.99
O 0.8036 0.8036 0.4172  1 Fe 1.99

Results
Energy   -49.41 eV for the cell shown
Density of states at the Fermi level   0.00 states/eV per atom
Symmetry   C2/m

---

Entry 6:
First-principles (PBE+U) data for an optimized crystal structure of PmFeS2O8, as listed in Alexandria.

a = 5.2247 Å, b = 5.2247 Å, c = 6.9397 Å
α = 90.00°, β = 90.00°, γ = 120.00°
With the nearest neighbours (Å) after each atom.
Element x y z (fractional)
Pm 0.0000 0.0000 0.0000  6 O 2.52
Fe 0.0000 0.0000 0.5000  6 O 2.20
S 0.3333 0.6667 0.2134  4 O 1.49-1.50
S 0.6667 0.3333 0.7866  4 O 1.49-1.50
O 0.1763 0.3526 0.2808  1 S 1.50
O 0.1763 0.8237 0.2808  1 S 1.50
O 0.3333 0.6667 0.9985  1 S 1.49
O 0.3526 0.1763 0.7192  1 S 1.50
O 0.6474 0.8237 0.2808  1 S 1.50
O 0.6667 0.3333 0.0015  1 S 1.49
O 0.8237 0.1763 0.7192  1 S 1.50
O 0.8237 0.6474 0.7192  1 S 1.50

Results
Energy   -77.73 eV for the cell shown
Density of states at the Fermi level   0.55 states/eV per atom
Symmetry   P-3m1

---

Entry 7:
First-principles (PBE+U) data for an optimized crystal structure of PmFe2SbO6, as listed in Alexandria.

a = 5.4904 Å, b = 5.4963 Å, c = 5.8245 Å
α = 62.00°, β = 62.49°, γ = 60.28°
With the nearest neighbours (Å) after each atom.
Element x y z (fractional)
Pm 0.0000 0.0000 0.0000  6 O 2.28-2.51
Fe 0.2771 0.2925 0.1606  5 O 2.07-2.31
Fe 0.7881 0.7956 0.6312  6 O 2.08-2.32
Sb 0.4814 0.4928 0.5415  6 O 2.01-2.05
O 0.1020 0.4240 0.8227  1 Sb 2.05, 2 Fe 2.13-2.25
O 0.2088 0.8679 0.3497  1 Sb 2.02, 2 Fe 2.21-2.23
O 0.4223 0.6732 0.8085  1 Sb 2.04, 1 Fe 2.08, 1 Pm 2.28
O 0.5589 0.2331 0.3408  1 Sb 2.02, 1 Fe 2.07
O 0.6635 0.1071 0.8084  1 Sb 2.04, 1 Fe 2.08
O 0.8546 0.5808 0.3430  1 Sb 2.01, 1 Fe 2.16

Results
Energy   -69.27 eV for the cell shown
Symmetry   P1

---

Entry 8:
First-principles (PBE+U) data for an optimized crystal structure of Pm2FeSbO6, as listed in Alexandria.

a = 5.3410 Å, b = 5.3410 Å, c = 5.2936 Å
α = 90.00°, β = 90.00°, γ = 90.00°
With the nearest neighbours (Å) after each atom.
Element x y z (fractional)
Pm 0.0000 0.5000 0.0000  4 O 2.35
Pm 0.5000 0.0000 0.0000  4 O 2.35
Fe 0.0000 0.0000 0.5517  5 O 1.96-2.14
Sb 0.5000 0.5000 0.5777  5 O 2.06-2.12
O 0.0000 0.0000 0.1818  1 Fe 1.96
O 0.2516 0.2516 0.7371  1 Sb 2.06, 1 Fe 2.14
O 0.2516 0.7484 0.7371  1 Sb 2.06, 1 Fe 2.14
O 0.5000 0.5000 0.1772  1 Sb 2.12
O 0.7484 0.2516 0.7371  1 Sb 2.06, 1 Fe 2.14
O 0.7484 0.7484 0.7371  1 Sb 2.06, 1 Fe 2.14

Results
Energy   -70.86 eV for the cell shown
Density of states at the Fermi level   0.25 states/eV per atom
Symmetry   P4mm

---

> Which formula does entry 5 have?

Pm2FeS2O2

---

> Which of these has the highest energy?

Pm2FeS2O2